Entry 1:
GGA-PBE Mo3Se2, optimized geometry; offset from the most stable computed form = 322 meV/atom; space group = No. 164; crystal system = trigonal; formation energy without anion corrections = 2.28 eV/f.u.; calculated volume = 17.10 A^3/atom
1.0
4.158 0.000 0.000
-2.079 3.601 0.000
0.000 0.000 5.712
Mo Se
3 2
Cartesian
0.000 0.000 0.000
0.000 2.401 1.988
2.079 1.200 3.724
0.000 2.401 4.499
2.079 1.200 1.213

---

Entry 2:
GGA-PBE Rb3AgTe4, optimized geometry; space group = No. 71; crystal system = orthorhombic; formation energy without anion corrections = -5.25 eV/f.u.; calculated volume = 44.07 A^3/atom
1.0
-2.897 3.176 9.579
2.897 -3.176 9.579
2.897 3.176 -9.579
Rb Ag Te
3 1 4
Cartesian
0.000 0.000 0.000
2.897 0.000 5.772
0.000 3.176 3.807
0.000 0.000 9.579
2.897 1.520 -2.262
2.897 1.520 2.262
0.000 1.657 7.317
0.000 1.657 11.841